Record 1
# PBE-GGA NiTeP, optimized geometry
data_NiTeP
_chemical_formula_sum 'Ni4 Te4 P4'
_symmetry_space_group_name_H-M 'F -4 3 m'
_symmetry_Int_Tables_number 216
_symmetry_space_group_name_Hall 'F -4 2 3'
_cell_length_a 6.087
_cell_length_b 6.087
_cell_length_c 6.087
_cell_angle_alpha 90.00
_cell_angle_beta 90.00
_cell_angle_gamma 90.00
loop_
_atom_site_label
_atom_site_fract_x
_atom_site_fract_y
_atom_site_fract_z
Ni1 0.000 0.000 0.000
Te1 0.250 0.250 0.250
P1 0.250 0.250 0.750
# **Uncorrected formation energy**: 0.134 eV/atom

Record 2
# PBE-GGA Ni2TeP, optimized geometry
data_Ni2TeP
_chemical_formula_sum 'Ni4 Te2 P2'
_symmetry_space_group_name_H-M 'C m m m'
_symmetry_Int_Tables_number 65
_symmetry_space_group_name_Hall '-C 2 2'
_cell_length_a 5.918
_cell_length_b 6.072
_cell_length_c 3.351
_cell_angle_alpha 90.00
_cell_angle_beta 90.00
_cell_angle_gamma 90.00
loop_
_atom_site_label
_atom_site_fract_x
_atom_site_fract_y
_atom_site_fract_z
Ni1 0.250 0.250 0.000
Te1 0.000 0.000 0.500
P1 0.000 0.500 0.500
# **Uncorrected formation energy**: 0.228 eV/atom

Record 3
# PBE-GGA NiTe2P2, optimized geometry
data_NiTe2P2
_chemical_formula_sum 'Ni4 Te8 P8'
_symmetry_space_group_name_H-M 'I b a m'
_symmetry_Int_Tables_number 72
_symmetry_space_group_name_Hall '-I 2 2c'
_cell_length_a 5.764
_cell_length_b 11.791
_cell_length_c 6.899
_cell_angle_alpha 90.00
_cell_angle_beta 90.00
_cell_angle_gamma 90.00
loop_
_atom_site_label
_atom_site_fract_x
_atom_site_fract_y
_atom_site_fract_z
Ni1 0.000 0.000 0.250
Te1 0.248 0.121 0.000
P1 0.212 0.103 0.500
# **Uncorrected formation energy**: 0.203 eV/atom

Record 4
# PBE-GGA Ni2TeP, optimized geometry
data_Ni2TeP
_chemical_formula_sum 'Ni2 Te1 P1'
_symmetry_space_group_name_H-M 'P 4/m m m'
_symmetry_Int_Tables_number 123
_symmetry_space_group_name_Hall '-P 4 2'
_cell_length_a 3.028
_cell_length_b 3.028
_cell_length_c 6.656
_cell_angle_alpha 90.00
_cell_angle_beta 90.00
_cell_angle_gamma 90.00
loop_
_atom_site_label
_atom_site_fract_x
_atom_site_fract_y
_atom_site_fract_z
Ni1 0.000 0.000 0.186
Te1 0.500 0.500 0.500
P1 0.500 0.500 0.000
# **Uncorrected formation energy**: 0.121 eV/atom

Record 5
# PBE-GGA NiTeP3, optimized geometry
data_NiTeP3
_chemical_formula_sum 'Ni1 Te1 P3'
_symmetry_space_group_name_H-M 'P m -3 m'
_symmetry_Int_Tables_number 221
_symmetry_space_group_name_Hall '-P 4 2 3'
_cell_length_a 4.483
_cell_length_b 4.483
_cell_length_c 4.483
_cell_angle_alpha 90.00
_cell_angle_beta 90.00
_cell_angle_gamma 90.00
loop_
_atom_site_label
_atom_site_fract_x
_atom_site_fract_y
_atom_site_fract_z
Ni1 0.000 0.000 0.000
Te1 0.500 0.500 0.500
P1 0.000 0.000 0.500
# **Uncorrected formation energy**: 0.556 eV/atom

Record 6
# PBE-GGA NiTe2P, optimized geometry
data_NiTe2P
_chemical_formula_sum 'Ni2 Te4 P2'
_symmetry_space_group_name_H-M 'I m m 2'
_symmetry_Int_Tables_number 44
_symmetry_space_group_name_Hall 'I 2 -2'
_cell_length_a 3.105
_cell_length_b 5.043
_cell_length_c 11.920
_cell_angle_alpha 90.00
_cell_angle_beta 90.00
_cell_angle_gamma 90.00
loop_
_atom_site_label
_atom_site_fract_x
_atom_site_fract_y
_atom_site_fract_z
Ni1 0.000 0.000 0.000
Te1 0.000 0.000 0.489
Te2 0.000 0.500 0.684
P1 0.000 0.500 0.367
# **Uncorrected formation energy**: 0.183 eV/atom

Record 7
# PBE-GGA NiTe2P, optimized geometry
data_NiTe2P
_chemical_formula_sum 'Ni1 Te2 P1'
_symmetry_space_group_name_H-M 'P 4/m m m'
_symmetry_Int_Tables_number 123
_symmetry_space_group_name_Hall '-P 4 2'
_cell_length_a 3.353
_cell_length_b 3.353
_cell_length_c 6.939
_cell_angle_alpha 90.00
_cell_angle_beta 90.00
_cell_angle_gamma 90.00
loop_
_atom_site_label
_atom_site_fract_x
_atom_site_fract_y
_atom_site_fract_z
Ni1 0.000 0.000 0.000
Te1 0.500 0.500 0.232
P1 0.000 0.000 0.500
# **Uncorrected formation energy**: 0.493 eV/atom

Record 8
# PBE-GGA Ni2TeP, optimized geometry
data_Ni2TeP
_chemical_formula_sum 'Ni8 Te4 P4'
_symmetry_space_group_name_H-M 'F -4 3 m'
_symmetry_Int_Tables_number 216
_symmetry_space_group_name_Hall 'F -4 2 3'
_cell_length_a 6.277
_cell_length_b 6.277
_cell_length_c 6.277
_cell_angle_alpha 90.00
_cell_angle_beta 90.00
_cell_angle_gamma 90.00
loop_
_atom_site_label
_atom_site_fract_x
_atom_site_fract_y
_atom_site_fract_z
Ni1 0.000 0.000 0.000
Ni2 0.250 0.250 0.250
Te1 0.250 0.250 0.750
P1 0.000 0.000 0.500
# **Uncorrected formation energy**: 0.555 eV/atom

Record 9
# PBE-GGA NiTe2P, optimized geometry
data_NiTe2P
_chemical_formula_sum 'Ni4 Te8 P4'
_symmetry_space_group_name_H-M 'I -4 2 d'
_symmetry_Int_Tables_number 122
_symmetry_space_group_name_Hall 'I -4 2bw'
_cell_length_a 6.001
_cell_length_b 6.001
_cell_length_c 11.869
_cell_angle_alpha 90.00
_cell_angle_beta 90.00
_cell_angle_gamma 90.00
loop_
_atom_site_label
_atom_site_fract_x
_atom_site_fract_y
_atom_site_fract_z
Ni1 0.000 0.000 0.000
Te1 0.211 0.250 0.125
P1 0.000 0.000 0.500
# **Uncorrected formation energy**: 0.193 eV/atom

Record 10
# PBE-GGA NiTeP, optimized geometry
data_NiTeP
_chemical_formula_sum 'Ni1 Te1 P1'
_symmetry_space_group_name_H-M 'P 3 m 1'
_symmetry_Int_Tables_number 156
_symmetry_space_group_name_Hall 'P 3 -2"'
_cell_length_a 3.6861
_cell_length_b 3.6861
_cell_length_c 4.6659
_cell_angle_alpha 90.00
_cell_angle_beta 90.00
_cell_angle_gamma 120.00
loop_
_atom_site_label
_atom_site_fract_x
_atom_site_fract_y
_atom_site_fract_z
Ni1 0.0000 0.0000 0.0000
Te1 0.3333 0.6667 0.6933
P1 0.6667 0.3333 0.1866
# **Uncorrected formation energy**: -0.096 eV/atom

Record 11
# PBE-GGA NiTe2P, optimized geometry
data_NiTe2P
_chemical_formula_sum 'Ni2 Te4 P2'
_symmetry_space_group_name_H-M 'I 4/m m m'
_symmetry_Int_Tables_number 139
_symmetry_space_group_name_Hall '-I 4 2'
_cell_length_a 5.434
_cell_length_b 5.434
_cell_length_c 5.787
_cell_angle_alpha 90.00
_cell_angle_beta 90.00
_cell_angle_gamma 90.00
loop_
_atom_site_label
_atom_site_fract_x
_atom_site_fract_y
_atom_site_fract_z
Ni1 0.000 0.000 0.000
Te1 0.000 0.500 0.000
P1 0.000 0.000 0.500
# **Uncorrected formation energy**: 0.249 eV/atom

Record 12
# PBE-GGA NiTeP2, optimized geometry
data_NiTeP2
_chemical_formula_sum 'Ni1 Te1 P2'
_symmetry_space_group_name_H-M 'P m m m'
_symmetry_Int_Tables_number 47
_symmetry_space_group_name_Hall '-P 2 2'
_cell_length_a 3.176
_cell_length_b 4.307
_cell_length_c 4.852
_cell_angle_alpha 90.00
_cell_angle_beta 90.00
_cell_angle_gamma 90.00
loop_
_atom_site_label
_atom_site_fract_x
_atom_site_fract_y
_atom_site_fract_z
Ni1 0.000 0.000 0.000
Te1 0.500 0.500 0.000
P1 0.000 0.500 0.500
P2 0.500 0.000 0.500
# **Uncorrected formation energy**: 0.605 eV/atom

Record 13
# PBE-GGA Ni2TeP, optimized geometry
data_Ni2TeP
_chemical_formula_sum 'Ni8 Te4 P4'
_symmetry_space_group_name_H-M 'F m -3 m'
_symmetry_Int_Tables_number 225
_symmetry_space_group_name_Hall '-F 4 2 3'
_cell_length_a 6.216
_cell_length_b 6.216
_cell_length_c 6.216
_cell_angle_alpha 90.00
_cell_angle_beta 90.00
_cell_angle_gamma 90.00
loop_
_atom_site_label
_atom_site_fract_x
_atom_site_fract_y
_atom_site_fract_z
Ni1 0.250 0.250 0.250
Te1 0.000 0.000 0.000
P1 0.000 0.000 0.500
# **Uncorrected formation energy**: 0.204 eV/atom

Record 14
# PBE-GGA NiTeP, optimized geometry
data_NiTeP
_chemical_formula_sum 'Ni4 Te4 P4'
_symmetry_space_group_name_H-M 'F -4 3 m'
_symmetry_Int_Tables_number 216
_symmetry_space_group_name_Hall 'F -4 2 3'
_cell_length_a 6.284
_cell_length_b 6.284
_cell_length_c 6.284
_cell_angle_alpha 90.00
_cell_angle_beta 90.00
_cell_angle_gamma 90.00
loop_
_atom_site_label
_atom_site_fract_x
_atom_site_fract_y
_atom_site_fract_z
Ni1 0.000 0.000 0.000
Te1 0.250 0.250 0.250
P1 0.000 0.000 0.500
# **Uncorrected formation energy**: 0.698 eV/atom

Record 15
# PBE-GGA NiTeP, optimized geometry
data_NiTeP
_chemical_formula_sum 'Ni4 Te4 P4'
_symmetry_space_group_name_H-M 'P n m a'
_symmetry_Int_Tables_number 62
_symmetry_space_group_name_Hall '-P 2ac 2n'
_cell_length_a 12.063
_cell_length_b 3.631
_cell_length_c 6.134
_cell_angle_alpha 90.00
_cell_angle_beta 90.00
_cell_angle_gamma 90.00
loop_
_atom_site_label
_atom_site_fract_x
_atom_site_fract_y
_atom_site_fract_z
Ni1 0.057 0.250 0.081
Te1 0.145 0.750 0.328
P1 0.132 0.750 0.915
# **Uncorrected formation energy**: -0.008 eV/atom

Record 16
# PBE-GGA NiTe2P, optimized geometry
data_NiTe2P
_chemical_formula_sum 'Ni4 Te8 P4'
_symmetry_space_group_name_H-M 'P m n a'
_symmetry_Int_Tables_number 53
_symmetry_space_group_name_Hall '-P 2ac 2'
_cell_length_a 7.004
_cell_length_b 7.141
_cell_length_c 8.406
_cell_angle_alpha 90.00
_cell_angle_beta 90.00
_cell_angle_gamma 90.00
loop_
_atom_site_label
_atom_site_fract_x
_atom_site_fract_y
_atom_site_fract_z
Ni1 0.000 0.073 0.139
Te1 0.000 0.203 0.664
Te2 0.250 0.300 0.250
P1 0.248 0.000 0.500
# **Uncorrected formation energy**: -0.018 eV/atom

Record 17
# PBE-GGA NiTe2P, optimized geometry
data_NiTe2P
_chemical_formula_sum 'Ni1 Te2 P1'
_symmetry_space_group_name_H-M 'P 4 m m'
_symmetry_Int_Tables_number 99
_symmetry_space_group_name_Hall 'P 4 -2'
_cell_length_a 3.122
_cell_length_b 3.122
_cell_length_c 9.323
_cell_angle_alpha 90.00
_cell_angle_beta 90.00
_cell_angle_gamma 90.00
loop_
_atom_site_label
_atom_site_fract_x
_atom_site_fract_y
_atom_site_fract_z
Ni1 0.000 0.000 0.000
Te1 0.000 0.000 0.427
Te2 0.500 0.500 0.792
P1 0.500 0.500 0.090
# **Uncorrected formation energy**: 0.176 eV/atom

Record 18
# PBE-GGA NiTeP, optimized geometry
data_NiTeP
_chemical_formula_sum 'Ni4 Te4 P4'
_symmetry_space_group_name_H-M 'P 1 21/c 1'
_symmetry_Int_Tables_number 14
_symmetry_space_group_name_Hall '-P 2ybc'
_cell_length_a 6.219
_cell_length_b 5.939
_cell_length_c 6.175
_cell_angle_alpha 90.00
_cell_angle_beta 105.43
_cell_angle_gamma 90.00
loop_
_atom_site_label
_atom_site_fract_x
_atom_site_fract_y
_atom_site_fract_z
Ni1 0.219 0.026 0.240
Te1 0.344 0.626 0.156
P1 0.130 0.133 0.867
# **Uncorrected formation energy**: -0.187 eV/atom

Record 19
# PBE-GGA NiTe2P, optimized geometry
data_NiTe2P
_chemical_formula_sum 'Ni2 Te4 P2'
_symmetry_space_group_name_H-M 'I -4 m 2'
_symmetry_Int_Tables_number 119
_symmetry_space_group_name_Hall 'I -4 -2'
_cell_length_a 3.696
_cell_length_b 3.696
_cell_length_c 16.572
_cell_angle_alpha 90.00
_cell_angle_beta 90.00
_cell_angle_gamma 90.00
loop_
_atom_site_label
_atom_site_fract_x
_atom_site_fract_y
_atom_site_fract_z
Ni1 0.000 0.000 0.000
Te1 0.000 0.000 0.500
Te2 0.000 0.500 0.250
P1 0.000 0.500 0.750
# **Uncorrected formation energy**: 0.505 eV/atom

Record 20
# PBE-GGA Ni2TeP, optimized geometry
data_Ni2TeP
_chemical_formula_sum 'Ni6 Te3 P3'
_symmetry_space_group_name_H-M 'R -3 m'
_symmetry_Int_Tables_number 166
_symmetry_space_group_name_Hall '-R 3 2"'
_cell_length_a 3.5924
_cell_length_b 3.5924
_cell_length_c 16.6157
_cell_angle_alpha 90.00
_cell_angle_beta 90.00
_cell_angle_gamma 120.00
loop_
_atom_site_label
_atom_site_fract_x
_atom_site_fract_y
_atom_site_fract_z
Ni1 0.0000 0.0000 0.2226
Te1 0.0000 0.0000 0.0000
P1 0.0000 0.0000 0.5000
# **Uncorrected formation energy**: -0.196 eV/atom

Record 21
# PBE-GGA NiTeP2, optimized geometry
data_NiTeP2
_chemical_formula_sum 'Ni2 Te2 P4'
_symmetry_space_group_name_H-M 'C m m m'
_symmetry_Int_Tables_number 65
_symmetry_space_group_name_Hall '-C 2 2'
_cell_length_a 4.217
_cell_length_b 4.359
_cell_length_c 9.213
_cell_angle_alpha 90.00
_cell_angle_beta 90.00
_cell_angle_gamma 90.00
loop_
_atom_site_label
_atom_site_fract_x
_atom_site_fract_y
_atom_site_fract_z
Ni1 0.000 0.000 0.000
Te1 0.000 0.000 0.500
P1 0.000 0.500 0.122
# **Uncorrected formation energy**: 0.132 eV/atom

Record 22
# PBE-GGA NiTeP2, optimized geometry
data_NiTeP2
_chemical_formula_sum 'Ni1 Te1 P2'
_symmetry_space_group_name_H-M 'P 1 2/m 1'
_symmetry_Int_Tables_number 10
_symmetry_space_group_name_Hall '-P 2y'
_cell_length_a 4.352
_cell_length_b 3.619
_cell_length_c 4.649
_cell_angle_alpha 90.00
_cell_angle_beta 107.95
_cell_angle_gamma 90.00
loop_
_atom_site_label
_atom_site_fract_x
_atom_site_fract_y
_atom_site_fract_z
Ni1 0.000 0.000 0.000
Te1 0.500 0.000 0.500
P1 0.248 0.500 0.844
# **Uncorrected formation energy**: -0.005 eV/atom

Record 23
# PBE-GGA NiTe2P6, optimized geometry
data_NiTe2P6
_chemical_formula_sum 'Ni1 Te2 P6'
_symmetry_space_group_name_H-M 'P -6 2 m'
_symmetry_Int_Tables_number 189
_symmetry_space_group_name_Hall 'P -6 -2'
_cell_length_a 6.9678
_cell_length_b 6.9678
_cell_length_c 4.0696
_cell_angle_alpha 90.00
_cell_angle_beta 90.00
_cell_angle_gamma 120.00
loop_
_atom_site_label
_atom_site_fract_x
_atom_site_fract_y
_atom_site_fract_z
Ni1 0.0000 0.0000 0.0000
Te1 0.3333 0.6667 0.5000
P1 0.0000 0.1915 0.5000
P2 0.0000 0.6506 0.0000
# **Uncorrected formation energy**: 0.521 eV/atom

Record 24
# PBE-GGA Ni2TeP, optimized geometry
data_Ni2TeP
_chemical_formula_sum 'Ni4 Te2 P2'
_symmetry_space_group_name_H-M 'C 1 m 1'
_symmetry_Int_Tables_number 8
_symmetry_space_group_name_Hall 'C -2y'
_cell_length_a 7.327
_cell_length_b 3.215
_cell_length_c 6.299
_cell_angle_alpha 90.00
_cell_angle_beta 110.78
_cell_angle_gamma 90.00
loop_
_atom_site_label
_atom_site_fract_x
_atom_site_fract_y
_atom_site_fract_z
Ni1 0.000 0.000 0.000
Ni2 0.221 0.000 0.787
Te1 0.279 0.500 0.227
P1 0.498 0.000 0.723
# **Uncorrected formation energy**: -0.163 eV/atom

Record 25
# PBE-GGA NiTe2P, optimized geometry
data_NiTe2P
_chemical_formula_sum 'Ni2 Te4 P2'
_symmetry_space_group_name_H-M 'C m m m'
_symmetry_Int_Tables_number 65
_symmetry_space_group_name_Hall '-C 2 2'
_cell_length_a 5.757
_cell_length_b 7.729
_cell_length_c 3.835
_cell_angle_alpha 90.00
_cell_angle_beta 90.00
_cell_angle_gamma 90.00
loop_
_atom_site_label
_atom_site_fract_x
_atom_site_fract_y
_atom_site_fract_z
Ni1 0.000 0.000 0.000
Te1 0.000 0.226 0.500
P1 0.000 0.500 0.000
# **Uncorrected formation energy**: 0.238 eV/atom

Record 26
# PBE-GGA NiTeP2, optimized geometry
data_NiTeP2
_chemical_formula_sum 'Ni2 Te2 P4'
_symmetry_space_group_name_H-M 'I -4 m 2'
_symmetry_Int_Tables_number 119
_symmetry_space_group_name_Hall 'I -4 -2'
_cell_length_a 4.485
_cell_length_b 4.485
_cell_length_c 6.536
_cell_angle_alpha 90.00
_cell_angle_beta 90.00
_cell_angle_gamma 90.00
loop_
_atom_site_label
_atom_site_fract_x
_atom_site_fract_y
_atom_site_fract_z
Ni1 0.000 0.000 0.000
Te1 0.000 0.500 0.250
P1 0.000 0.000 0.500
P2 0.000 0.500 0.750
# **Uncorrected formation energy**: 0.632 eV/atom

Record 27
# PBE-GGA NiTe2P, optimized geometry
data_NiTe2P
_chemical_formula_sum 'Ni1 Te2 P1'
_symmetry_space_group_name_H-M 'P 4 m m'
_symmetry_Int_Tables_number 99
_symmetry_space_group_name_Hall 'P 4 -2'
_cell_length_a 3.105
_cell_length_b 3.105
_cell_length_c 9.373
_cell_angle_alpha 90.00
_cell_angle_beta 90.00
_cell_angle_gamma 90.00
loop_
_atom_site_label
_atom_site_fract_x
_atom_site_fract_y
_atom_site_fract_z
Ni1 0.000 0.000 0.000
Te1 0.000 0.000 0.279
Te2 0.500 0.500 0.654
P1 0.500 0.500 0.929
# **Uncorrected formation energy**: -0.061 eV/atom

Record 28
# PBE-GGA Ni2TeP, optimized geometry
data_Ni2TeP
_chemical_formula_sum 'Ni8 Te4 P4'
_symmetry_space_group_name_H-M 'I -4 2 d'
_symmetry_Int_Tables_number 122
_symmetry_space_group_name_Hall 'I -4 2bw'
_cell_length_a 4.464
_cell_length_b 4.464
_cell_length_c 13.781
_cell_angle_alpha 90.00
_cell_angle_beta 90.00
_cell_angle_gamma 90.00
loop_
_atom_site_label
_atom_site_fract_x
_atom_site_fract_y
_atom_site_fract_z
Ni1 0.155 0.250 0.125
Te1 0.000 0.000 0.500
P1 0.000 0.000 0.000
# **Uncorrected formation energy**: -0.187 eV/atom